The following is a DFT calculation (PBE-GGA) of KMnSb4 after structural relaxation.

Uncorrected formation energy: 0.274 eV/atom
Mass density: 5.325 g/cm3
M_tot: 0.8505 μB per atom
Fermi-level density of states: 3.9 states/eV/f.u.
DFT total energy: -4.1858 eV/atom

CIF file:
```
data_KMnSb4
_space_group_name_H-M_alt 'F -4 3 m'
_space_group_IT_number 216
_space_group_name_Hall 'F -4 2 3'
_cell_length_a 8.983
_cell_length_b 8.983
_cell_length_c 8.983
_cell_angle_alpha 90.00
_cell_angle_beta 90.00
_cell_angle_gamma 90.00
loop_
_atom_site_label
_atom_site_fract_x
_atom_site_fract_y
_atom_site_fract_z
K1 0.000 0.000 0.000
Mn1 0.250 0.250 0.750
Sb1 0.124 0.124 0.376
```